A.
Below is crystalline YAlTc at its relaxed geometry, with properties calculated at the PBE level.

Values from the calculation:
space-group type	P-6m2 (187)
total moment	0.000	μB/f.u.
DOS(E_F)	0.48	states/eV/atom

a = 4.3620 Å, b = 4.3620 Å, c = 3.7101 Å
α = 90.00°, β = 90.00°, γ = 120.00°
Positions (direct):
Y (0.0000, 0.0000, 0.0000)
Al (0.6667, 0.3333, 0.5000)
Tc (0.3333, 0.6667, 0.5000)

B.
Below is crystalline YAlTc at its relaxed geometry, with properties calculated at the PBE level.

Values from the calculation:
space-group type	F-43m (216)
total moment	0.982	μB/f.u.
DOS(E_F)	2.09	states/eV/atom

a = 6.6111 Å, b = 6.6111 Å, c = 6.6111 Å
α = 90.00°, β = 90.00°, γ = 90.00°
Positions (direct):
Y (0.0000, 0.0000, 0.0000)
Y (0.0000, 0.5000, 0.5000)
Y (0.5000, 0.0000, 0.5000)
Y (0.5000, 0.5000, 0.0000)
Al (0.2500, 0.2500, 0.7500)
Al (0.2500, 0.7500, 0.2500)
Al (0.7500, 0.2500, 0.2500)
Al (0.7500, 0.7500, 0.7500)
Tc (0.2500, 0.2500, 0.2500)
Tc (0.2500, 0.7500, 0.7500)
Tc (0.7500, 0.2500, 0.7500)
Tc (0.7500, 0.7500, 0.2500)

C.
Below is crystalline YAlTc at its relaxed geometry, with properties calculated at the PBE level.

Values from the calculation:
space-group type	F-43m (216)
total moment	0.000	μB/f.u.
DOS(E_F)	1.32	states/eV/atom

a = 6.3966 Å, b = 6.3966 Å, c = 6.3966 Å
α = 90.00°, β = 90.00°, γ = 90.00°
Positions (direct):
Y (0.0000, 0.0000, 0.0000)
Y (0.0000, 0.5000, 0.5000)
Y (0.5000, 0.0000, 0.5000)
Y (0.5000, 0.5000, 0.0000)
Al (0.0000, 0.0000, 0.5000)
Al (0.0000, 0.5000, 0.0000)
Al (0.5000, 0.0000, 0.0000)
Al (0.5000, 0.5000, 0.5000)
Tc (0.2500, 0.2500, 0.7500)
Tc (0.2500, 0.7500, 0.2500)
Tc (0.7500, 0.2500, 0.2500)
Tc (0.7500, 0.7500, 0.7500)

Energies, relative to the best one, in meV/atom: A 0; B 1198; C 367.

A.
Below is crystalline Y2Al3Tc at its relaxed geometry, with properties calculated at the PBE level.

Values from the calculation:
space-group type	R-3m (166)
total moment	0.000	μB/f.u.
DOS(E_F)	0.69	states/eV/atom

a = 5.4642 Å, b = 5.4642 Å, c = 5.4642 Å
α = 60.90°, β = 60.90°, γ = 60.90°
Positions (direct):
Y (0.1278, 0.1278, 0.1278)
Y (0.8722, 0.8722, 0.8722)
Al (0.0000, 0.5000, 0.5000)
Al (0.5000, 0.0000, 0.5000)
Al (0.5000, 0.5000, 0.0000)
Tc (0.5000, 0.5000, 0.5000)

B.
Below is crystalline Y2Al3Tc at its relaxed geometry, with properties calculated at the PBE level.

Values from the calculation:
space-group type	P6_3/mmc (194)
total moment	0.000	μB/f.u.
DOS(E_F)	0.65	states/eV/atom

a = 5.5263 Å, b = 5.5263 Å, c = 8.9304 Å
α = 90.00°, β = 90.00°, γ = 120.00°
Positions (direct):
Y (0.3333, 0.6667, 0.0521)
Y (0.3333, 0.6667, 0.4479)
Y (0.6667, 0.3333, 0.5521)
Y (0.6667, 0.3333, 0.9479)
Al (0.1619, 0.3239, 0.7500)
Al (0.1619, 0.8381, 0.7500)
Al (0.3239, 0.1619, 0.2500)
Al (0.6761, 0.8381, 0.7500)
Al (0.8381, 0.1619, 0.2500)
Al (0.8381, 0.6761, 0.2500)
Tc (0.0000, 0.0000, 0.0000)
Tc (0.0000, 0.0000, 0.5000)

Energies, relative to the best one, in meV/atom: A 32; B 0.

A.
Below is crystalline AlZn4Tc at its relaxed geometry, with properties calculated at the PBE level.

Values from the calculation:
space-group type	F-43m (216)
total moment	0.000	μB/f.u.
DOS(E_F)	0.69	states/eV/atom

a = 4.9477 Å, b = 4.9477 Å, c = 4.9477 Å
α = 60.00°, β = 60.00°, γ = 60.00°
Positions (direct):
Al (0.0000, 0.0000, 0.0000)
Zn (0.3759, 0.3759, 0.3759)
Zn (0.3759, 0.3759, 0.8723)
Zn (0.3759, 0.8723, 0.3759)
Zn (0.8723, 0.3759, 0.3759)
Tc (0.7500, 0.7500, 0.7500)

B.
Below is crystalline AlZn4Tc at its relaxed geometry, with properties calculated at the PBE level.

Values from the calculation:
space-group type	Cmc2_1 (36)
total moment	0.000	μB/f.u.
DOS(E_F)	0.44	states/eV/atom

a = 6.0749 Å, b = 6.0749 Å, c = 8.2353 Å
α = 90.00°, β = 90.00°, γ = 145.09°
Positions (direct):
Al (0.1751, 0.8249, 0.5000)
Al (0.8249, 0.1751, 0.0000)
Zn (0.0023, 0.9977, 0.7538)
Zn (0.1651, 0.8349, 0.0164)
Zn (0.3356, 0.6644, 0.2593)
Zn (0.4987, 0.5013, 0.0103)
Zn (0.5013, 0.4987, 0.5103)
Zn (0.6644, 0.3356, 0.7593)
Zn (0.8349, 0.1651, 0.5164)
Zn (0.9977, 0.0023, 0.2538)
Tc (0.3330, 0.6670, 0.7652)
Tc (0.6670, 0.3330, 0.2652)

Energies, relative to the best one, in meV/atom: A 158; B 0.

A.
Below is crystalline Al2Zn2Tc at its relaxed geometry, with properties calculated at the PBE level.

Values from the calculation:
space-group type	C2/m (12)
total moment	0.000	μB/f.u.
DOS(E_F)	0.47	states/eV/atom

a = 8.8548 Å, b = 3.4231 Å, c = 6.4517 Å
α = 90.00°, β = 131.80°, γ = 90.00°
Positions (direct):
Al (0.2053, 0.0000, 0.3082)
Al (0.2947, 0.5000, 0.6918)
Al (0.7053, 0.5000, 0.3082)
Al (0.7947, 0.0000, 0.6918)
Zn (0.1053, 0.5000, 0.9050)
Zn (0.3947, 0.0000, 0.0950)
Zn (0.6053, 0.0000, 0.9050)
Zn (0.8947, 0.5000, 0.0950)
Tc (0.0000, 0.0000, 0.5000)
Tc (0.5000, 0.5000, 0.5000)

B.
Below is crystalline Al2Zn2Tc at its relaxed geometry, with properties calculated at the PBE level.

Values from the calculation:
space-group type	P4/mbm (127)
total moment	0.001	μB/f.u.
DOS(E_F)	0.74	states/eV/atom

a = 6.7665 Å, b = 6.7665 Å, c = 3.2564 Å
α = 90.00°, β = 90.00°, γ = 90.00°
Positions (direct):
Al (0.1768, 0.3232, 0.0000)
Al (0.3232, 0.8232, 0.0000)
Al (0.6768, 0.1768, 0.0000)
Al (0.8232, 0.6768, 0.0000)
Zn (0.1271, 0.6271, 0.5000)
Zn (0.3729, 0.1271, 0.5000)
Zn (0.6271, 0.8729, 0.5000)
Zn (0.8729, 0.3729, 0.5000)
Tc (0.0000, 0.0000, 0.5000)
Tc (0.5000, 0.5000, 0.5000)

C.
Below is crystalline Al2Zn2Tc at its relaxed geometry, with properties calculated at the PBE level.

Values from the calculation:
space-group type	P4/mbm (127)
total moment	0.000	μB/f.u.
DOS(E_F)	0.57	states/eV/atom

a = 6.6662 Å, b = 6.6662 Å, c = 3.4549 Å
α = 90.00°, β = 90.00°, γ = 90.00°
Positions (direct):
Al (0.1478, 0.3522, 0.0000)
Al (0.3522, 0.8522, 0.0000)
Al (0.6478, 0.1478, 0.0000)
Al (0.8522, 0.6478, 0.0000)
Zn (0.1542, 0.6542, 0.5000)
Zn (0.3458, 0.1542, 0.5000)
Zn (0.6542, 0.8458, 0.5000)
Zn (0.8458, 0.3458, 0.5000)
Tc (0.0000, 0.0000, 0.0000)
Tc (0.5000, 0.5000, 0.0000)

Energies, relative to the best one, in meV/atom: A 0; B 310; C 325.

A.
Below is crystalline AlZn3Tc at its relaxed geometry, with properties calculated at the PBE level.

Values from the calculation:
space-group type	Pnma (62)
total moment	0.000	μB/f.u.
DOS(E_F)	0.33	states/eV/atom

a = 6.6880 Å, b = 5.4871 Å, c = 8.5004 Å
α = 90.00°, β = 90.00°, γ = 90.00°
Positions (direct):
Al (0.0000, 0.0000, 0.0000)
Al (0.0000, 0.5000, 0.0000)
Al (0.5000, 0.0000, 0.5000)
Al (0.5000, 0.5000, 0.5000)
Zn (0.1172, 0.0094, 0.3823)
Zn (0.1172, 0.4906, 0.3823)
Zn (0.2133, 0.2500, 0.6630)
Zn (0.2867, 0.7500, 0.1630)
Zn (0.3828, 0.5094, 0.8823)
Zn (0.3828, 0.9906, 0.8823)
Zn (0.6172, 0.0094, 0.1177)
Zn (0.6172, 0.4906, 0.1177)
Zn (0.7133, 0.2500, 0.8370)
Zn (0.7867, 0.7500, 0.3370)
Zn (0.8828, 0.5094, 0.6177)
Zn (0.8828, 0.9906, 0.6177)
Tc (0.2393, 0.7500, 0.6425)
Tc (0.2607, 0.2500, 0.1425)
Tc (0.7393, 0.7500, 0.8575)
Tc (0.7607, 0.2500, 0.3575)

B.
Below is crystalline AlZn3Tc at its relaxed geometry, with properties calculated at the PBE level.

Values from the calculation:
space-group type	Pm-3m (221)
total moment	0.924	μB/f.u.
DOS(E_F)	0.78	states/eV/atom

a = 4.8369 Å, b = 4.8369 Å, c = 4.8369 Å
α = 90.00°, β = 90.00°, γ = 90.00°
Positions (direct):
Al (0.0000, 0.0000, 0.0000)
Zn (0.0000, 0.5000, 0.5000)
Zn (0.5000, 0.0000, 0.5000)
Zn (0.5000, 0.5000, 0.0000)
Tc (0.5000, 0.5000, 0.5000)

Energies, relative to the best one, in meV/atom: A 0; B 873.

A.
Below is crystalline AlTe4 at its relaxed geometry, with properties calculated at the PBE level.

Values from the calculation:
space-group type	I4/m (87)
total moment	0.000	μB/f.u.
DOS(E_F)	0.52	states/eV/atom

a = 7.9458 Å, b = 7.9458 Å, c = 4.7319 Å
α = 90.00°, β = 90.00°, γ = 90.00°
Positions (direct):
Al (0.0000, 0.0000, 0.0000)
Al (0.5000, 0.5000, 0.5000)
Te (0.1467, 0.6734, 0.0000)
Te (0.1734, 0.3533, 0.5000)
Te (0.3266, 0.1467, 0.0000)
Te (0.3533, 0.8266, 0.5000)
Te (0.6467, 0.1734, 0.5000)
Te (0.6734, 0.8533, 0.0000)
Te (0.8266, 0.6467, 0.5000)
Te (0.8533, 0.3266, 0.0000)

B.
Below is crystalline AlTe4 at its relaxed geometry, with properties calculated at the PBE level.

Values from the calculation:
space-group type	Pm-3m (221)
total moment	0.000	μB/f.u.
DOS(E_F)	0.64	states/eV/atom

a = 5.3216 Å, b = 5.3216 Å, c = 5.3216 Å
α = 90.00°, β = 90.00°, γ = 90.00°
Positions (direct):
Al (0.0000, 0.0000, 0.0000)
Te (0.0000, 0.0000, 0.5000)
Te (0.0000, 0.5000, 0.0000)
Te (0.5000, 0.0000, 0.0000)
Te (0.5000, 0.5000, 0.5000)

C.
Below is crystalline AlTe4 at its relaxed geometry, with properties calculated at the PBE level.

Values from the calculation:
space-group type	Im-3m (229)
total moment	0.000	μB/f.u.
DOS(E_F)	0.68	states/eV/atom

a = 6.7884 Å, b = 6.7884 Å, c = 6.7884 Å
α = 90.00°, β = 90.00°, γ = 90.00°
Positions (direct):
Al (0.0000, 0.0000, 0.0000)
Al (0.5000, 0.5000, 0.5000)
Te (0.2500, 0.2500, 0.2500)
Te (0.2500, 0.2500, 0.7500)
Te (0.2500, 0.7500, 0.2500)
Te (0.2500, 0.7500, 0.7500)
Te (0.7500, 0.2500, 0.2500)
Te (0.7500, 0.2500, 0.7500)
Te (0.7500, 0.7500, 0.2500)
Te (0.7500, 0.7500, 0.7500)

Energies, relative to the best one, in meV/atom: A 0; B 138; C 27.